The following is a DFT calculation (PBE+U) of SrMnNbO6 after structural relaxation.

abc: 4.968 4.968 9.629
angles: 90.00 90.00 90.00
Space group P4_2nm (No. 102)
Inequivalent atoms, fractional coordinates:
Sr 0.000 0.000 0.000 x2
Mn 0.000 0.000 0.331 x2
Nb 0.000 0.000 0.660 x2
O 0.165 0.165 0.488 x4
O 0.220 0.220 0.200 x4
O 0.228 0.228 0.791 x4

Calculated values
- DOS(E_F): 0.328 states/eV/atom
- Energy: -7.3887 eV per atom